--- A ---
InSbS2Cl | GGA-PBE | relaxed

* Fermi-level density of states: 0.64 states/eV/atom
* space group: No. 123
* ρ: 3.97 g/cm³

Unit cell a=5.133 b=5.133 c=5.339 alpha=90.00 beta=90.00 gamma=90.00
Element x y z (fractional)
In: 0.000 0.000 0.000
Sb: 0.500 0.500 0.500
S: 0.000 0.500 0.500
S: 0.500 0.000 0.500
Cl: 0.500 0.500 0.000


--- B ---
InSbS2Cl | GGA-PBE | relaxed

* Fermi-level density of states: 0.65 states/eV/atom
* space group: No. 123
* ρ: 4.20 g/cm³

Unit cell a=5.163 b=5.163 c=4.982 alpha=90.00 beta=90.00 gamma=90.00
Element x y z (fractional)
In: 0.000 0.000 0.000
Sb: 0.500 0.500 0.500
S: 0.000 0.500 0.000
S: 0.500 0.000 0.000
Cl: 0.000 0.000 0.500


Energies in meV per atom, measured from the most stable structure: A 0; B 272.